Entry 1:
DFT (PBE-GGA) results for an optimized crystal structure of Tb2HoPa.

Unit cell a=3.412 b=3.412 c=10.186 alpha=90.00 beta=90.00 gamma=90.00
Space group P4/mmm (No. 123)
Asymmetric unit:
Tb 0.000 0.000 0.234 (multiplicity 2)
Ho 0.500 0.500 0.500 (multiplicity 1)
Pa 0.500 0.500 0.000 (multiplicity 1)

Output
DOS at the Fermi energy in states/eV/f.u.: 6.32
Calculated volume in Å³/cell: 119
E in eV per formula unit: -22.798

---

Entry 2:
DFT (PBE-GGA) results for an optimized crystal structure of Rb2SmMnS4.

Unit cell a=11.663 b=11.564 c=8.487 alpha=90.00 beta=130.57 gamma=90.00
Space group C2/c (No. 15)
Asymmetric unit:
Rb 0.000 0.000 0.000 (multiplicity 4)
Rb 0.250 0.250 0.000 (multiplicity 4)
Sm 0.000 0.500 0.000 (multiplicity 4)
Mn 0.250 0.250 0.500 (multiplicity 4)
S 0.052 0.263 0.513 (multiplicity 8)
S 0.213 0.461 0.446 (multiplicity 8)

Output
Formation energy from raw total energies in eV per atom: -1.170
Calculated volume in Å³/cell: 869
E in eV per formula unit: -41.691

---

Entry 3:
DFT (PBE-GGA) results for an optimized crystal structure of MnW2C.

Unit cell a=5.843 b=5.843 c=5.843 alpha=90.00 beta=90.00 gamma=90.00
Space group Fm-3m (No. 225)
Asymmetric unit:
Mn 0.000 0.000 0.000 (multiplicity 4)
W 0.250 0.250 0.250 (multiplicity 8)
C 0.000 0.000 0.500 (multiplicity 4)

Output
DOS at the Fermi energy in states/eV/f.u.: 2.84
Calculated volume in Å³/cell: 199
E in eV per formula unit: -40.058

---

Entry 4:
DFT (PBE-GGA) results for an optimized crystal structure of Cs2TeHAu.

Unit cell a=3.777 b=6.201 c=15.030 alpha=90.00 beta=90.00 gamma=90.00
Space group Imm2 (No. 44)
Asymmetric unit:
Cs 0.000 0.000 0.000 (multiplicity 2)
Cs 0.000 0.000 0.295 (multiplicity 2)
Te 0.000 0.000 0.731 (multiplicity 2)
H 0.000 0.500 0.015 (multiplicity 2)
Au 0.000 0.000 0.533 (multiplicity 2)

Output
DOS at the Fermi energy in states/eV/f.u.: 2.02
Calculated volume in Å³/cell: 352
E in eV per formula unit: -13.197

---

Among the records above, which one has the lowest E?
Rb2SmMnS4